## P
First-principles (PBE) data for a relaxed structure of SiSbF2, as listed in the Alexandria database.

calculated volume: 62.5 Å³/f.u.

a = 6.3007 Å, b = 6.3007 Å, c = 6.3007 Å
α = 90.00°, β = 90.00°, γ = 90.00°
With the nearest neighbours (Å) after each atom.
Space group Fm-3m (No. 225)
Symmetry-distinct sites (fractional):
Si 0.0000 0.0000 0.0000 x4  8 F 2.73
Sb 0.0000 0.0000 0.5000 x4  8 F 2.73
F 0.2500 0.2500 0.2500 x8  4 Si 2.73, 4 Sb 2.73

=====

## Q
First-principles (PBE) data for a relaxed structure of SiSbF2, as listed in the Alexandria database.

calculated volume: 62.6 Å³/f.u.

a = 3.9401 Å, b = 3.9401 Å, c = 16.1272 Å
α = 90.00°, β = 90.00°, γ = 90.00°
With the nearest neighbours (Å) after each atom.
Space group I-42d (No. 122)
Symmetry-distinct sites (fractional):
Si 0.0000 0.0000 0.0000 x4  4 F 2.45
Sb 0.0000 0.0000 0.5000 x4  4 F 2.45
F 0.2473 0.2500 0.1250 x8  2 Si 2.45, 2 Sb 2.45

=====

Relative stability in meV/atom, measured from the most stable structure: P 514; Q 0

=====

## P
First-principles (PBE) data for a relaxed structure of SiSbF2, as listed in the Alexandria database.

calculated volume: 84.5 Å³/f.u.

a = 3.3226 Å, b = 3.3226 Å, c = 26.5266 Å
α = 90.00°, β = 90.00°, γ = 120.00°
With the nearest neighbours (Å) after each atom.
Space group R-3m (No. 166, hexagonal axes)
Symmetry-distinct sites (fractional):
Si 0.0000 0.0000 0.0000 x3  6 F 2.20
Sb 0.0000 0.0000 0.5000 x3  6 Sb 3.32
F 0.0000 0.0000 0.2926 x6  3 Si 2.20

=====

## Q
First-principles (PBE) data for a relaxed structure of SiSbF2, as listed in the Alexandria database.

calculated volume: 75.2 Å³/f.u.

a = 2.9874 Å, b = 2.9874 Å, c = 29.1825 Å
α = 90.00°, β = 90.00°, γ = 120.00°
With the nearest neighbours (Å) after each atom.
Space group R-3m (No. 166, hexagonal axes)
Symmetry-distinct sites (fractional):
Si 0.0000 0.0000 0.0000 x3  2 F 1.65
Sb 0.0000 0.0000 0.5000 x3  6 Sb 2.99
F 0.0000 0.0000 0.0567 x6  1 Si 1.65

=====

Relative stability in meV/atom, measured from the most stable structure: P 310; Q 0

=====

## P
First-principles (PBE) data for a relaxed structure of Si3SbF, as listed in the Alexandria database.

calculated volume: 146.2 Å³/f.u.

a = 5.2679 Å, b = 5.2679 Å, c = 5.2679 Å
α = 90.00°, β = 90.00°, γ = 90.00°
With the nearest neighbours (Å) after each atom.
Space group Pm-3m (No. 221)
Symmetry-distinct sites (fractional):
Si 0.0000 0.0000 0.5000 x3  2 Sb 2.63
Sb 0.0000 0.0000 0.0000 x1  6 Si 2.63
F 0.5000 0.5000 0.5000 x1  12 Si 3.72

=====

## Q
First-principles (PBE) data for a relaxed structure of Si3SbF, as listed in the Alexandria database.

calculated volume: 93.5 Å³/f.u.

a = 4.5392 Å, b = 4.5392 Å, c = 4.5392 Å
α = 90.00°, β = 90.00°, γ = 90.00°
With the nearest neighbours (Å) after each atom.
Space group Pm-3m (No. 221)
Symmetry-distinct sites (fractional):
Si 0.0000 0.0000 0.5000 x3  2 F 2.27
Sb 0.5000 0.5000 0.5000 x1  12 Si 3.21
F 0.0000 0.0000 0.0000 x1  6 Si 2.27

=====

Relative stability in meV/atom, measured from the most stable structure: P 736; Q 0

=====

## P
First-principles (PBE) data for a relaxed structure of SnSb3F, as listed in the Alexandria database.

calculated volume: 180.3 Å³/f.u.

a = 5.6493 Å, b = 5.6493 Å, c = 5.6493 Å
α = 90.00°, β = 90.00°, γ = 90.00°
With the nearest neighbours (Å) after each atom.
Space group Pm-3m (No. 221)
Symmetry-distinct sites (fractional):
Sn 0.0000 0.0000 0.0000 x1  6 Sb 2.82
Sb 0.0000 0.0000 0.5000 x3  2 Sn 2.82
F 0.5000 0.5000 0.5000 x1  12 Sb 3.99

=====

## Q
First-principles (PBE) data for a relaxed structure of SnSb3F, as listed in the Alexandria database.

calculated volume: 126.3 Å³/f.u.

a = 5.0169 Å, b = 5.0169 Å, c = 5.0169 Å
α = 90.00°, β = 90.00°, γ = 90.00°
With the nearest neighbours (Å) after each atom.
Space group Pm-3m (No. 221)
Symmetry-distinct sites (fractional):
Sn 0.0000 0.0000 0.0000 x1  12 Sb 3.55
Sb 0.0000 0.5000 0.5000 x3  2 F 2.51
F 0.5000 0.5000 0.5000 x1  6 Sb 2.51

=====

Relative stability in meV/atom, measured from the most stable structure: P 712; Q 0